(1)
Here is an optimized crystal structure of La4Y4Th from Alexandria. Energies are from PBE-GGA.

Results
density	6137	kg/m3
final energy	-105.4	eV/cell
ΔE_f	0.03	eV per atom
crystal system	tetragonal
size of the total moment	0.00	μB/f.u.

Cell: 10.9332 10.9332 5.1758 Å, 90.00 90.00 90.00°
Space group I4/mmm (No. 139)
Inequivalent atoms, fractional coordinates:
1 La 0.0000 0.3295 0.0000 [8 per cell]
2 Y 0.1618 0.1618 0.5000 [8 per cell]
3 Th 0.0000 0.0000 0.0000 [2 per cell]

(2)
Here is an optimized crystal structure of PrInGa from Alexandria. Energies are from PBE-GGA.

Results
density	7134	kg/m3
final energy	-48.4	eV/cell
ΔE_f	-0.52	eV per atom
crystal system	orthorhombic
size of the total moment	0.00	μB/f.u.

Cell: 4.7435 7.8381 8.1495 Å, 90.00 90.00 90.00°
Space group Imma (No. 74)
Inequivalent atoms, fractional coordinates:
1 Pr 0.0000 0.0000 0.0000 [4 per cell]
2 In 0.0000 0.2500 0.3467 [4 per cell]
3 Ga 0.0000 0.2500 0.6817 [4 per cell]

(3)
Here is an optimized crystal structure of Mg2ZnSb from Alexandria. Energies are from PBE-GGA.

Results
density	4438	kg/m3
final energy	-26.4	eV/cell
crystal system	trigonal
size of the total moment	0.00	μB/f.u.
E_form (uncorrected)	-57	meV/atom

Cell: 3.3861 3.3861 26.6509 Å, 90.00 90.00 120.00°
Space group R-3m (No. 166, hexagonal axes)
Inequivalent atoms, fractional coordinates:
1 Mg 0.0000 0.0000 0.2417 [6 per cell]
2 Zn 0.0000 0.0000 0.5000 [3 per cell]
3 Sb 0.0000 0.0000 0.0000 [3 per cell]